1.
DFT (PBE) results for a geometry-optimized CaCrHg2Se structure.

Unit cell a=5.6710 b=5.6710 c=4.6499 alpha=90.00 beta=90.00 gamma=90.00
With the nearest neighbours (Å) after each atom.
Space group P4/mmm (No. 123)
Asymmetric unit:
Ca 0.0000 0.0000 0.0000 x1  8 Hg 3.67, 4 Cr 4.01
Cr 0.5000 0.5000 0.0000 x1  2 Se 2.32
Hg 0.0000 0.5000 0.5000 x2  2 Se 2.84
Se 0.5000 0.5000 0.5000 x1  2 Cr 2.32

Summary:
As for the raw total energy: -2.93 eV/atom. The calculation puts the calculated volume at 149.54 Å³/cell. The value obtained for the raw formation energy is 217 meV per atom. The value obtained for the density of states at the Fermi level is 2.29 states/eV per cell.

---

2.
DFT (PBE) results for a geometry-optimized Ca2CrSiHg structure.

Unit cell a=5.6508 b=5.6508 c=4.6576 alpha=90.00 beta=90.00 gamma=90.00
With the nearest neighbours (Å) after each atom.
Space group P4/mmm (No. 123)
Asymmetric unit:
Ca 0.0000 0.5000 0.0000 x2  2 Si 2.83
Cr 0.0000 0.0000 0.5000 x1  2 Si 2.33
Si 0.0000 0.0000 0.0000 x1  2 Cr 2.33
Hg 0.5000 0.5000 0.5000 x1  8 Ca 3.66, 4 Cr 4.00

Summary:
As for the raw total energy: -3.82 eV/atom. The calculation puts the calculated volume at 148.73 Å³/cell. The value obtained for the raw formation energy is 54 meV per atom. The value obtained for the density of states at the Fermi level is 2.87 states/eV per cell.

---

3.
DFT (PBE) results for a geometry-optimized CaTa2CrHg structure.

Unit cell a=4.8632 b=4.8632 c=4.2499 alpha=90.00 beta=90.00 gamma=90.00
With the nearest neighbours (Å) after each atom.
Space group P4/mmm (No. 123)
Asymmetric unit:
Ca 0.0000 0.0000 0.0000 x1  2 Cr 2.12
Ta 0.0000 0.5000 0.0000 x2  2 Ca 2.43
Cr 0.0000 0.0000 0.5000 x1  2 Ca 2.12
Hg 0.5000 0.5000 0.5000 x1  8 Ta 3.23, 4 Cr 3.44

Summary:
As for the raw total energy: -4.68 eV/atom. The calculation puts the calculated volume at 100.52 Å³/cell. The value obtained for the density of states at the Fermi level is 5.50 states/eV per cell.

---

4.
DFT (PBE) results for a geometry-optimized CaTlCrHg2 structure.

Unit cell a=5.2866 b=5.2866 c=5.6151 alpha=90.00 beta=90.00 gamma=90.00
With the nearest neighbours (Å) after each atom.
Space group P4/mmm (No. 123)
Asymmetric unit:
Ca 0.0000 0.0000 0.0000 x1  2 Cr 2.81
Tl 0.5000 0.5000 0.0000 x1  4 Ca 3.74, 8 Hg 3.86
Cr 0.0000 0.0000 0.5000 x1  4 Hg 2.64, 2 Ca 2.81
Hg 0.0000 0.5000 0.5000 x2  2 Cr 2.64

Summary:
As for the raw total energy: -2.57 eV/atom. The calculation puts the calculated volume at 156.93 Å³/cell. The value obtained for the density of states at the Fermi level is 4.08 states/eV per cell.

---

5.
DFT (PBE) results for a geometry-optimized CaYCr2Hg structure.

Unit cell a=5.2833 b=5.2833 c=5.5365 alpha=90.00 beta=90.00 gamma=90.00
With the nearest neighbours (Å) after each atom.
Space group P4/mmm (No. 123)
Asymmetric unit:
Ca 0.0000 0.0000 0.0000 x1  4 Y 3.74, 8 Cr 3.83
Y 0.5000 0.5000 0.0000 x1  2 Hg 2.77
Cr 0.0000 0.5000 0.5000 x2  2 Hg 2.64
Hg 0.5000 0.5000 0.5000 x1  4 Cr 2.64, 2 Y 2.77

Summary:
As for the raw total energy: -4.80 eV/atom. The calculation puts the calculated volume at 154.54 Å³/cell. The value obtained for the density of states at the Fermi level is 5.93 states/eV per cell.

---

6.
DFT (PBE) results for a geometry-optimized CaZrCr2Hg structure.

Unit cell a=4.4467 b=4.4467 c=4.9920 alpha=90.00 beta=90.00 gamma=90.00
With the nearest neighbours (Å) after each atom.
Space group P4/mmm (No. 123)
Asymmetric unit:
Ca 0.0000 0.0000 0.0000 x1  4 Cr 2.22
Zr 0.0000 0.0000 0.5000 x1  2 Ca 2.50
Cr 0.0000 0.5000 0.0000 x2  2 Ca 2.22
Hg 0.5000 0.5000 0.5000 x1  4 Zr 3.14, 8 Cr 3.34

Summary:
As for the raw total energy: -3.91 eV/atom. The calculation puts the calculated volume at 98.71 Å³/cell. The value obtained for the density of states at the Fermi level is 6.62 states/eV per cell.